BeZnCdCuIr: relaxed, GGA-PBE.

Values from the calculation:
Size of the total moment (μB per formula unit): 0.0
Relative energy among the computed polymorphs (eV/atom): 0.0062
Formation energy from the elements (eV per atom): -0.149
SG: Cm (8)

Cell lengths 2.8871, 2.8559, 17.6469 Å; angles 90.00, 90.29, 90.00 degrees
Positions (direct):
Zn  0.6230  0.0000  0.2076
Zn  0.6230  0.5000  0.7076
Ir  0.1261  0.5000  0.3053
Ir  0.1261  0.0000  0.8053
Cu  0.1314  0.0000  0.9532
Cu  0.1314  0.5000  0.4532
Be  0.6282  0.0000  0.3709
Be  0.6282  0.5000  0.8709
Cd  0.6343  0.5000  0.0650
Cd  0.6343  0.0000  0.5650